! K3La2CdO6 (PBE, optimized geometry); values from VASP
&SYSTEM
  ibrav = 0, nat = 12, ntyp = 4
/
ATOMIC_SPECIES
O 16.00 O.upf
K 39.10 K.upf
Cd 112.41 Cd.upf
La 138.91 La.upf
ATOMIC_POSITIONS crystal
O 0.9298 0.5919 0.7990
O 0.2631 0.2631 0.8066
O 0.7369 0.7369 0.1934
O 0.5919 0.9298 0.7990
O 0.4081 0.0702 0.2010
O 0.0702 0.4081 0.2010
K 0.5000 0.5000 0.5000
K 0.8410 0.1590 0.5000
K 0.1590 0.8410 0.5000
Cd 0.0000 0.0000 0.0000
La 0.6655 0.3345 0.0000
La 0.3345 0.6655 0.0000
CELL_PARAMETERS angstrom
6.3434 -0.0820 0.0374
-3.2412 5.4535 0.0374
-0.9974 -1.7270 6.2835
! **Energy**: -5.7054 eV per atom
! **DOS at the Fermi energy**: 0.861 states/eV/atom
! **Crystal system**: monoclinic

=====

! TaMnBeOs2 (PBE, optimized geometry); values from VASP
&SYSTEM
  ibrav = 0, nat = 5, ntyp = 4
/
ATOMIC_SPECIES
Mn 54.94 Mn.upf
Ta 180.95 Ta.upf
Be 9.01 Be.upf
Os 190.23 Os.upf
ATOMIC_POSITIONS crystal
Mn 0.0000 0.0000 0.0000
Ta 0.5000 0.5000 0.5000
Be 0.0000 0.5000 0.0000
Os 0.0000 0.0000 0.5000
Os 0.5000 0.0000 0.0000
CELL_PARAMETERS angstrom
-2.3473 -2.8527 -2.4686
2.8630 -2.5970 0.2788
-1.8594 -1.6548 3.6804
! **Energy**: -8.4368 eV per atom
! **Energy relative to the elements**: 1.0048 eV per atom
! **DOS at the Fermi energy**: 0.743 states/eV/atom
! **Crystal system**: tetragonal

=====

Look up the energy of the first one.
-5.7054 eV per atom

=====

Among the records above, which one has the lowest DOS at the Fermi energy?
TaMnBeOs2

=====

Copy entry 1 word for word.
! K3La2CdO6 (PBE, optimized geometry); values from VASP
&SYSTEM
  ibrav = 0, nat = 12, ntyp = 4
/
ATOMIC_SPECIES
O 16.00 O.upf
K 39.10 K.upf
Cd 112.41 Cd.upf
La 138.91 La.upf
ATOMIC_POSITIONS crystal
O 0.9298 0.5919 0.7990
O 0.2631 0.2631 0.8066
O 0.7369 0.7369 0.1934
O 0.5919 0.9298 0.7990
O 0.4081 0.0702 0.2010
O 0.0702 0.4081 0.2010
K 0.5000 0.5000 0.5000
K 0.8410 0.1590 0.5000
K 0.1590 0.8410 0.5000
Cd 0.0000 0.0000 0.0000
La 0.6655 0.3345 0.0000
La 0.3345 0.6655 0.0000
CELL_PARAMETERS angstrom
6.3434 -0.0820 0.0374
-3.2412 5.4535 0.0374
-0.9974 -1.7270 6.2835
! **Energy**: -5.7054 eV per atom
! **DOS at the Fermi energy**: 0.861 states/eV/atom
! **Crystal system**: monoclinic